## a
Compound: ScRh3C
Source: Alexandria via LeMat-Bulk
Functional: PBE
Structure: optimized geometry

Geometry as extended XYZ:
```
5
Lattice="-1.938 3.261 2.659 -3.687 0.095 -2.803 -2.028 -3.289 2.556" Properties=species:S:1:pos:R:3 pbc="T T T"
Sc 0.000 0.000 0.000
C -3.826 0.033 1.206
Rh -1.843 0.047 -1.402
Rh -1.014 -1.644 1.278
Rh -0.969 1.631 1.330
```

***

## b
Compound: ScRh3C
Source: Alexandria via LeMat-Bulk
Functional: PBE
Structure: optimized geometry

Geometry as extended XYZ:
```
5
Lattice="-2.323 -1.664 2.950 1.292 -3.742 -1.093 3.131 0.310 2.640" Properties=species:S:1:pos:R:3 pbc="T T T"
Sc 1.050 -2.548 2.248
C 0.000 0.000 0.000
Rh 0.646 -1.871 -0.547
Rh 1.565 0.155 1.320
Rh -1.161 -0.832 1.475
```

***

Stability ranking, top entry: b; the second entry is 2.731 eV/atom less favorable.

***

## a
Compound: ScRh2C2
Source: Alexandria via LeMat-Bulk
Functional: PBE
Structure: optimized geometry

Geometry as extended XYZ:
```
10
Lattice="-3.323 -5.642 1.161 4.543 -1.743 4.533 -1.495 1.291 1.994" Properties=species:S:1:pos:R:3 pbc="T T T"
Sc 0.000 0.000 0.000
Sc 0.610 -3.693 2.847
C 1.766 -1.689 4.391
C 0.576 -4.691 5.442
C -2.041 -4.406 3.297
C -0.851 -1.404 2.245
Rh 2.708 -3.512 4.302
Rh 0.069 -5.958 3.908
Rh -1.488 -3.873 1.391
Rh 1.151 -1.427 1.786
```

***

## b
Compound: ScRh2C2
Source: Alexandria via LeMat-Bulk
Functional: PBE
Structure: optimized geometry

Geometry as extended XYZ:
```
5
Lattice="3.834 0.000 0.000 0.000 3.834 0.000 1.917 1.917 4.197" Properties=species:S:1:pos:R:3 pbc="T T T"
Sc 0.000 0.000 0.000
C 3.834 1.917 2.099
C 1.917 3.834 2.099
Rh 1.917 1.917 1.303
Rh 3.834 3.834 2.894
```

***

Stability ranking, top entry: b; the second entry is 0.598 eV/atom less favorable.

***

## a
Compound: RhCSe3
Source: Alexandria via LeMat-Bulk
Functional: PBE
Structure: optimized geometry

Geometry as extended XYZ:
```
5
Lattice="-3.813 -2.819 1.168 -0.626 -1.107 -4.715 2.987 -3.831 0.502" Properties=species:S:1:pos:R:3 pbc="T T T"
C -0.726 -3.879 -1.522
Rh 0.000 0.000 0.000
Se -0.313 -0.553 -2.358
Se 1.493 -1.916 0.251
Se -1.907 -1.410 0.584
```

***

## b
Compound: RhCSe3
Source: Alexandria via LeMat-Bulk
Functional: PBE
Structure: optimized geometry

Geometry as extended XYZ:
```
5
Lattice="4.324 0.000 0.000 0.000 4.324 0.000 0.000 0.000 4.324" Properties=species:S:1:pos:R:3 pbc="T T T"
C 0.000 0.000 0.000
Rh 2.162 2.162 2.162
Se 0.000 2.162 0.000
Se 0.000 0.000 2.162
Se 2.162 0.000 0.000
```

***

Stability ranking, top entry: b; the second entry is 0.530 eV/atom less favorable.

***

## a
Compound: Rh3CSe
Source: Alexandria via LeMat-Bulk
Functional: PBE
Structure: optimized geometry

Geometry as extended XYZ:
```
5
Lattice="-1.544 3.616 1.256 -3.810 -1.320 -0.882 -0.371 -1.489 3.832" Properties=species:S:1:pos:R:3 pbc="T T T"
C 0.000 0.000 0.000
Rh -1.905 -0.660 -0.441
Rh -0.185 -0.745 1.916
Rh -0.772 1.808 0.628
Se -2.862 0.403 2.103
```

***

## b
Compound: Rh3CSe
Source: Alexandria via LeMat-Bulk
Functional: PBE
Structure: optimized geometry

Geometry as extended XYZ:
```
5
Lattice="-3.270 -3.153 -0.222 0.090 -0.412 4.529 -3.159 3.252 0.358" Properties=species:S:1:pos:R:3 pbc="T T T"
C -3.170 -0.156 2.333
Rh 0.045 -0.206 2.264
Rh -1.580 1.626 0.179
Rh -1.635 -1.576 -0.111
Se 0.000 0.000 0.000
```

***

Stability ranking, top entry: a; the second entry is 1.527 eV/atom less favorable.